DFT (PBE) results for an optimized crystal structure of LiYNi4.

a = 4.9026 Å, b = 4.9026 Å, c = 4.9026 Å
α = 60.00°, β = 60.00°, γ = 60.00°
Closest atoms and distances in Å follow each position.
Sites, in units of the cell vectors:
Ni: 0.1229 0.6257 0.6257  6 Ni 2.44-2.47
Ni: 0.6257 0.6257 0.1229  6 Ni 2.44-2.47
Ni: 0.6257 0.1229 0.6257  6 Ni 2.44-2.47
Ni: 0.6257 0.6257 0.6257  6 Ni 2.44-2.47
Y: 0.2500 0.2500 0.2500  12 Ni 2.88, 4 Li 3.00
Li: 0.0000 0.0000 0.0000  12 Ni 2.87, 4 Y 3.00

Computed properties:
Space group   F-43m
VASP energy   -33.4 eV per formula unit